Run one
ZrCd2Ge2: relaxed, GGA-PBE.

POSCAR file:
```
ZrCd2Ge2
1.0
7.2134 0.0000 0.0000
0.0000 7.2134 0.0000
0.0000 0.0000 4.0355
Zr Cd Ge
2 4 4
direct
0.0000 0.0000 0.0000
0.5000 0.5000 0.0000
0.1718 0.3282 0.5000
0.3282 0.8282 0.5000
0.6718 0.1718 0.5000
0.8282 0.6718 0.5000
0.1303 0.6303 0.0000
0.3697 0.1303 0.0000
0.6303 0.8697 0.0000
0.8697 0.3697 0.0000
```

Output
- Space group: P4/mbm, No. 127
- Density of states at the Fermi level: 7.31 states/eV/cell

Run two
ZrCd2Ge2: relaxed, GGA-PBE.

POSCAR file:
```
ZrCd2Ge2
1.0
-1.9611 1.9611 6.8854
1.9611 -1.9611 6.8854
1.9611 1.9611 -6.8854
Zr Cd Ge
1 2 2
direct
0.0000 0.0000 0.0000
0.2500 0.7500 0.5000
0.7500 0.2500 0.5000
0.4092 0.4092 0.0000
0.5908 0.5908 0.0000
```

Output
- Space group: I4/mmm, No. 139
- Density of states at the Fermi level: 2.66 states/eV/cell

Ranking the structures above from most stable to least stable yields run one, run two.